A plane-wave DFT calculation with PBE was carried out for a relaxed structure of NbPS2.

The magnetization is 0.00 μB/f.u. The value obtained for the mass density is 3.60 g cm⁻³. Its calculated volume is 21.7 Å³ per atom. As for the total energy: -22.902 eV per formula unit.

Unit cell a=5.8327 b=5.8327 c=6.5574 alpha=63.59 beta=63.59 gamma=90.00
Closest atoms and distances in Å follow each position.
Element x y z (fractional)
S 0.6412 0.1250 0.2500  2 Nb 2.37, 2 P 2.48
S 0.1088 0.6250 0.2500  2 Nb 2.37, 2 P 2.48
S 0.8750 0.8912 0.7500  2 Nb 2.37, 2 P 2.48
S 0.3750 0.3588 0.7500  2 Nb 2.37, 2 P 2.48
P 0.5000 0.5000 0.0000  4 S 2.48
P 0.2500 0.7500 0.5000  4 S 2.48
Nb 0.7500 0.2500 0.5000  4 S 2.37
Nb 0.0000 0.0000 0.0000  4 S 2.37



A plane-wave DFT calculation with PBE was carried out for a relaxed structure of Nb4PS5.

The magnetization is 0.00 μB/f.u. The value obtained for the mass density is 4.90 g cm⁻³. Its calculated volume is 19.1 Å³ per atom. As for the total energy: -74.945 eV per formula unit.

Unit cell a=3.4699 b=7.2297 c=7.9638 alpha=101.39 beta=102.58 gamma=90.00
Closest atoms and distances in Å follow each position.
Element x y z (fractional)
Nb 0.6546 0.0845 0.3093  1 P 2.36, 5 S 2.50-2.63
Nb 0.3454 0.9155 0.6907  1 P 2.36, 5 S 2.50-2.63
Nb 0.0036 0.2380 0.0072  2 P 2.44, 4 S 2.47-2.69
Nb 0.9964 0.7620 0.9928  2 P 2.44, 4 S 2.47-2.69
S 0.5000 0.5000 0.0000  4 Nb 2.58
S 0.8346 0.6621 0.6692  3 Nb 2.47-2.50
S 0.1728 0.8366 0.3457  4 Nb 2.55-2.69
S 0.1654 0.3379 0.3308  3 Nb 2.47-2.50
S 0.8272 0.1634 0.6543  4 Nb 2.55-2.69
P 0.5000 0.0000 0.0000  6 Nb 2.36-2.44



A plane-wave DFT calculation with PBE was carried out for a relaxed structure of NbPS3.

The value obtained for the energy above the most stable polymorph in this dataset is 1.0126 eV per atom. The magnetization is 2.00 μB/f.u. The value obtained for the mass density is 4.21 g cm⁻³. Its calculated volume is 17.4 Å³ per atom.

Unit cell a=4.4280 b=4.4280 c=4.4280 alpha=90.00 beta=90.00 gamma=90.00
Closest atoms and distances in Å follow each position.
Element x y z (fractional)
S 0.0000 0.5000 0.0000  2 P 2.21
S 0.0000 0.0000 0.5000  2 P 2.21
S 0.5000 0.0000 0.0000  2 P 2.21
P 0.0000 0.0000 0.0000  6 S 2.21
Nb 0.5000 0.5000 0.5000  12 S 3.13



A plane-wave DFT calculation with PBE was carried out for a relaxed structure of ScNbPS2.

The value obtained for the energy above the most stable polymorph in this dataset is 0.0000 eV per atom. The magnetization is 0.00 μB/f.u. The value obtained for the mass density is 3.54 g cm⁻³. Its calculated volume is 21.8 Å³ per atom.

Unit cell a=4.7131 b=4.7131 c=4.9154 alpha=90.00 beta=90.00 gamma=90.00
Closest atoms and distances in Å follow each position.
Element x y z (fractional)
Sc 0.5000 0.5000 0.5000  4 P 3.33, 8 S 3.40
Nb 0.0000 0.0000 0.0000  4 S 2.36, 2 P 2.46
S 0.0000 0.5000 0.0000  2 Nb 2.36
S 0.5000 0.0000 0.0000  2 Nb 2.36
P 0.0000 0.0000 0.5000  2 Nb 2.46



A plane-wave DFT calculation with PBE was carried out for a relaxed structure of ScNbPS2.

The value obtained for the energy above the most stable polymorph in this dataset is 0.5654 eV per atom. The magnetization is 1.77 μB/f.u. The value obtained for the mass density is 3.48 g cm⁻³. Its calculated volume is 22.2 Å³ per atom.

Unit cell a=4.7601 b=4.7601 c=4.9012 alpha=90.00 beta=90.00 gamma=90.00
Closest atoms and distances in Å follow each position.
Element x y z (fractional)
S 0.0000 0.5000 0.0000  2 Sc 2.38
S 0.5000 0.0000 0.0000  2 Sc 2.38
Sc 0.0000 0.0000 0.0000  4 S 2.38, 2 P 2.45
Nb 0.5000 0.5000 0.5000  4 P 3.37, 8 S 3.42
P 0.0000 0.0000 0.5000  2 Sc 2.45



A plane-wave DFT calculation with PBE was carried out for a relaxed structure of NbP2SeS.

The value obtained for the energy above the most stable polymorph in this dataset is 0.0000 eV per atom. The magnetization is 0.00 μB/f.u. The value obtained for the mass density is 3.93 g cm⁻³. Its calculated volume is 22.5 Å³ per atom.

Unit cell a=4.9456 b=4.9456 c=4.5984 alpha=90.00 beta=90.00 gamma=90.00
Closest atoms and distances in Å follow each position.
Element x y z (fractional)
Se 0.5000 0.5000 0.5000  8 P 3.38, 4 S 3.50
P 0.0000 0.5000 0.0000  2 Nb 2.47
P 0.5000 0.0000 0.0000  2 Nb 2.47
S 0.0000 0.0000 0.5000  2 Nb 2.30
Nb 0.0000 0.0000 0.0000  2 S 2.30, 4 P 2.47



A plane-wave DFT calculation with PBE was carried out for a relaxed structure of NbP2SeS.

The value obtained for the energy above the most stable polymorph in this dataset is 0.6534 eV per atom. The magnetization is 0.00 μB/f.u. The value obtained for the mass density is 4.51 g cm⁻³. Its calculated volume is 19.6 Å³ per atom.

Unit cell a=4.6352 b=4.6352 c=4.5514 alpha=90.00 beta=90.00 gamma=90.00
Closest atoms and distances in Å follow each position.
Element x y z (fractional)
P 0.5000 0.0000 0.0000  2 Se 2.32
P 0.0000 0.5000 0.0000  2 Se 2.32
S 0.0000 0.0000 0.5000  2 Se 2.28
Se 0.0000 0.0000 0.0000  2 S 2.28, 4 P 2.32
Nb 0.5000 0.5000 0.5000  8 P 3.25, 4 S 3.28



A plane-wave DFT calculation with PBE was carried out for a relaxed structure of NbSnP2S.

The value obtained for the energy above the most stable polymorph in this dataset is 0.0000 eV per atom. The magnetization is 0.00 μB/f.u. The value obtained for the mass density is 4.42 g cm⁻³. Its calculated volume is 22.9 Å³ per atom.

Unit cell a=4.9124 b=4.9124 c=4.7543 alpha=90.00 beta=90.00 gamma=90.00
Closest atoms and distances in Å follow each position.
Element x y z (fractional)
Nb 0.0000 0.0000 0.0000  2 S 2.38, 4 P 2.46
P 0.0000 0.5000 0.0000  2 Nb 2.46
P 0.5000 0.0000 0.0000  2 Nb 2.46
S 0.0000 0.0000 0.5000  2 Nb 2.38
Sn 0.5000 0.5000 0.5000  8 P 3.42, 4 S 3.47



A plane-wave DFT calculation with PBE was carried out for a relaxed structure of NbSnP2S.

The value obtained for the energy above the most stable polymorph in this dataset is 1.1715 eV per atom. The magnetization is 0.00 μB/f.u. The value obtained for the mass density is 4.39 g cm⁻³. Its calculated volume is 23.1 Å³ per atom.

Unit cell a=4.8788 b=4.8788 c=4.8567 alpha=90.00 beta=90.00 gamma=90.00
Closest atoms and distances in Å follow each position.
Element x y z (fractional)
P 0.0000 0.5000 0.0000  2 Sn 2.44
P 0.5000 0.0000 0.0000  2 Sn 2.44
S 0.0000 0.0000 0.5000  2 Sn 2.43
Sn 0.0000 0.0000 0.0000  2 S 2.43, 4 P 2.44
Nb 0.5000 0.5000 0.5000  8 P 3.44, 4 S 3.45



A plane-wave DFT calculation with PBE was carried out for a relaxed structure of SrNbP2S.

The value obtained for the energy above the most stable polymorph in this dataset is 0.0000 eV per atom. The magnetization is 0.00 μB/f.u. The value obtained for the mass density is 3.91 g cm⁻³. Its calculated volume is 23.3 Å³ per atom.

Unit cell a=4.8556 b=4.8556 c=4.9469 alpha=90.00 beta=90.00 gamma=90.00
Closest atoms and distances in Å follow each position.
Element x y z (fractional)
Nb 0.0000 0.0000 0.0000  4 P 2.43, 2 S 2.47
P 0.5000 0.0000 0.0000  2 Nb 2.43
P 0.0000 0.5000 0.0000  2 Nb 2.43
Sr 0.5000 0.5000 0.5000  4 S 3.43, 8 P 3.47
S 0.0000 0.0000 0.5000  2 Nb 2.47



A plane-wave DFT calculation with PBE was carried out for a relaxed structure of SrNb2PS.

The magnetization is 0.00 μB/f.u. The value obtained for the mass density is 4.33 g cm⁻³. Its calculated volume is 25.8 Å³ per atom. As for the total energy: -29.962 eV per formula unit.

Unit cell a=4.6202 b=6.0399 c=4.6202 alpha=90.00 beta=90.00 gamma=90.00
Closest atoms and distances in Å follow each position.
Element x y z (fractional)
Nb 0.0000 0.0000 0.5000  2 P 2.31
Nb 0.5000 0.0000 0.0000  2 P 2.31
P 0.0000 0.0000 0.0000  4 Nb 2.31
S 0.0000 0.5000 0.0000  2 P 3.02, 4 Sr 3.27
Sr 0.5000 0.5000 0.5000  4 S 3.27



A plane-wave DFT calculation with PBE was carried out for a relaxed structure of SrNbP2S.

The value obtained for the energy above the most stable polymorph in this dataset is 2.0961 eV per atom. The magnetization is 1.64 μB/f.u. The value obtained for the mass density is 3.20 g cm⁻³. Its calculated volume is 28.5 Å³ per atom.

Unit cell a=5.2033 b=5.2033 c=5.2643 alpha=90.00 beta=90.00 gamma=90.00
Closest atoms and distances in Å follow each position.
Element x y z (fractional)
S 0.0000 0.0000 0.5000  2 Sr 2.63
P 0.5000 0.0000 0.0000  2 Sr 2.60
P 0.0000 0.5000 0.0000  2 Sr 2.60
Nb 0.5000 0.5000 0.5000  4 S 3.68, 8 P 3.70
Sr 0.0000 0.0000 0.0000  4 P 2.60, 2 S 2.63